1.
! Hf2CuMo | Alexandria via LeMat-Bulk | PBE | optimized geometry; values from VASP
! - Space-group type: P4/mmm, No. 123
! - Energy of formation: -0.111 eV/atom
&SYSTEM
  ibrav = 0, nat = 4, ntyp = 3
/
ATOMIC_SPECIES
Cu 63.55 Cu.upf
Mo 95.94 Mo.upf
Hf 178.49 Hf.upf
ATOMIC_POSITIONS crystal
Cu 0.500 0.000 0.000
Mo 0.500 0.500 0.500
Hf 0.000 0.500 0.000
Hf 0.000 0.000 0.500
CELL_PARAMETERS angstrom
-1.328 3.073 -0.069
-1.030 -0.346 4.459
4.085 1.790 1.082



2.
! HfCuMo | Alexandria via LeMat-Bulk | PBE | optimized geometry; values from VASP
! - Polymorph energy (0 for the lowest one): 0.179 eV/atom
! - Space-group type: C2/m, No. 12
! - Energy of formation: 0.011 eV/atom
&SYSTEM
  ibrav = 0, nat = 12, ntyp = 3
/
ATOMIC_SPECIES
Hf 178.49 Hf.upf
Mo 95.94 Mo.upf
Cu 63.55 Cu.upf
ATOMIC_POSITIONS crystal
Hf 0.217 0.500 0.686
Hf 0.783 0.000 0.814
Hf 0.783 0.500 0.314
Hf 0.217 0.000 0.186
Mo 0.000 0.000 0.500
Mo 0.000 0.500 0.000
Mo 0.500 0.000 0.500
Mo 0.500 0.500 0.000
Cu 0.711 0.000 0.140
Cu 0.711 0.500 0.640
Cu 0.289 0.000 0.860
Cu 0.289 0.500 0.360
CELL_PARAMETERS angstrom
5.356 0.000 -0.029
0.000 4.626 0.000
-0.674 0.000 7.963



3.
! HfCuMo | Alexandria via LeMat-Bulk | PBE | optimized geometry; values from VASP
! - Polymorph energy (0 for the lowest one): 0.242 eV/atom
! - Space-group type: Cm, No. 8
! - Energy of formation: 0.074 eV/atom
&SYSTEM
  ibrav = 0, nat = 12, ntyp = 3
/
ATOMIC_SPECIES
Cu 63.55 Cu.upf
Mo 95.94 Mo.upf
Hf 178.49 Hf.upf
ATOMIC_POSITIONS crystal
Cu 0.389 0.000 0.880
Cu 0.389 0.500 0.380
Cu 0.678 0.000 0.508
Cu 0.678 0.500 0.008
Mo 0.557 0.500 0.706
Mo 0.557 0.000 0.206
Mo 0.854 0.000 0.844
Mo 0.854 0.500 0.344
Hf 0.025 0.500 0.686
Hf 0.025 0.000 0.186
Hf 0.215 0.000 0.535
Hf 0.215 0.500 0.035
CELL_PARAMETERS angstrom
-1.234 2.794 4.681
-1.864 -3.522 1.611
8.429 -5.043 -1.273



4.
! Hf2CuMo | Alexandria via LeMat-Bulk | PBE | optimized geometry; values from VASP
! - Space-group type: Immm, No. 71
! - Energy of formation: 0.626 eV/atom
&SYSTEM
  ibrav = 0, nat = 4, ntyp = 3
/
ATOMIC_SPECIES
Hf 178.49 Hf.upf
Cu 63.55 Cu.upf
Mo 95.94 Mo.upf
ATOMIC_POSITIONS crystal
Hf 0.000 0.757 0.757
Hf 0.000 0.243 0.243
Cu 0.000 0.000 0.000
Mo 0.000 0.500 0.500
CELL_PARAMETERS angstrom
-5.746 -0.089 1.705
5.024 -0.540 3.224
5.071 2.848 -1.451



5.
! HfCuMo | Alexandria via LeMat-Bulk | PBE | optimized geometry; values from VASP
! - Polymorph energy (0 for the lowest one): 0.225 eV/atom
! - Space-group type: Cm, No. 8
! - Energy of formation: 0.056 eV/atom
&SYSTEM
  ibrav = 0, nat = 12, ntyp = 3
/
ATOMIC_SPECIES
Cu 63.55 Cu.upf
Mo 95.94 Mo.upf
Hf 178.49 Hf.upf
ATOMIC_POSITIONS crystal
Cu 0.991 0.500 0.799
Cu 0.821 0.000 0.931
Cu 0.821 0.500 0.431
Cu 0.991 0.000 0.299
Mo 0.303 0.000 0.968
Mo 0.147 0.000 0.606
Mo 0.147 0.500 0.106
Mo 0.303 0.500 0.468
Hf 0.675 0.000 0.614
Hf 0.675 0.500 0.114
Hf 0.465 0.000 0.291
Hf 0.465 0.500 0.791
CELL_PARAMETERS angstrom
6.051 0.000 0.000
0.000 3.317 0.000
-3.129 0.000 9.988



6.
! HfCuMo | Alexandria via LeMat-Bulk | PBE | optimized geometry; values from VASP
! - Polymorph energy (0 for the lowest one): 0.159 eV/atom
! - Space-group type: P3m1, No. 156
! - Energy of formation: -0.009 eV/atom
&SYSTEM
  ibrav = 0, nat = 6, ntyp = 3
/
ATOMIC_SPECIES
Hf 178.49 Hf.upf
Mo 95.94 Mo.upf
Cu 63.55 Cu.upf
ATOMIC_POSITIONS crystal
Hf 0.000 0.000 0.995
Hf 0.333 0.667 0.641
Mo 0.333 0.667 0.162
Mo 0.667 0.333 0.308
Cu 0.000 0.000 0.491
Cu 0.667 0.333 0.806
CELL_PARAMETERS angstrom
4.496 0.000 0.000
-2.248 3.894 0.000
0.000 0.000 5.651



7.
! HfCuMo | Alexandria via LeMat-Bulk | PBE | optimized geometry; values from VASP
! - Polymorph energy (0 for the lowest one): 0.191 eV/atom
! - Space-group type: Amm2, No. 38
! - Energy of formation: 0.023 eV/atom
&SYSTEM
  ibrav = 0, nat = 12, ntyp = 3
/
ATOMIC_SPECIES
Mo 95.94 Mo.upf
Cu 63.55 Cu.upf
Hf 178.49 Hf.upf
ATOMIC_POSITIONS crystal
Mo 0.000 0.500 0.557
Mo 0.000 0.000 0.057
Mo 0.000 0.000 0.710
Mo 0.000 0.500 0.210
Cu 0.500 0.500 0.388
Cu 0.500 0.000 0.537
Cu 0.500 0.000 0.888
Cu 0.500 0.500 0.037
Hf 0.500 0.500 0.712
Hf 0.500 0.000 0.212
Hf 0.000 0.000 0.389
Hf 0.000 0.500 0.889
CELL_PARAMETERS angstrom
4.560 0.000 0.000
0.000 3.284 0.000
0.000 0.000 13.230



8.
! HfCuMo2 | Alexandria via LeMat-Bulk | PBE | optimized geometry; values from VASP
! - Polymorph energy (0 for the lowest one): 0.190 eV/atom
! - Space-group type: I-42d, No. 122
! - Energy of formation: 0.595 eV/atom
&SYSTEM
  ibrav = 0, nat = 8, ntyp = 3
/
ATOMIC_SPECIES
Hf 178.49 Hf.upf
Mo 95.94 Mo.upf
Cu 63.55 Cu.upf
ATOMIC_POSITIONS crystal
Hf 0.750 0.250 0.500
Hf 0.000 0.000 0.000
Mo 0.160 0.625 0.250
Mo 0.590 0.125 0.250
Mo 0.375 0.410 0.750
Mo 0.875 0.840 0.750
Cu 0.250 0.750 0.500
Cu 0.500 0.500 0.000
CELL_PARAMETERS angstrom
7.386 0.000 0.000
0.000 7.386 0.000
3.693 3.693 2.554



9.
! HfCuMo | Alexandria via LeMat-Bulk | PBE | optimized geometry; values from VASP
! - Polymorph energy (0 for the lowest one): 0.124 eV/atom
! - Space-group type: Imma, No. 74
! - Energy of formation: -0.044 eV/atom
&SYSTEM
  ibrav = 0, nat = 12, ntyp = 3
/
ATOMIC_SPECIES
Hf 178.49 Hf.upf
Cu 63.55 Cu.upf
Mo 95.94 Mo.upf
ATOMIC_POSITIONS crystal
Hf 0.000 0.250 0.870
Hf 0.000 0.750 0.130
Hf 0.500 0.250 0.630
Hf 0.500 0.750 0.370
Cu 0.250 0.750 0.750
Cu 0.750 0.250 0.250
Cu 0.250 0.250 0.250
Cu 0.750 0.750 0.750
Mo 0.500 0.500 0.000
Mo 0.500 0.000 0.000
Mo 0.000 0.000 0.500
Mo 0.000 0.500 0.500
CELL_PARAMETERS angstrom
-1.855 4.370 1.727
-2.058 0.896 -4.478
-6.579 -3.696 2.284



10.
! HfCuMo | Alexandria via LeMat-Bulk | PBE | optimized geometry; values from VASP
! - Polymorph energy (0 for the lowest one): 0.252 eV/atom
! - Space-group type: Amm2, No. 38
! - Energy of formation: 0.084 eV/atom
&SYSTEM
  ibrav = 0, nat = 12, ntyp = 3
/
ATOMIC_SPECIES
Hf 178.49 Hf.upf
Cu 63.55 Cu.upf
Mo 95.94 Mo.upf
ATOMIC_POSITIONS crystal
Hf 0.000 0.000 0.151
Hf 0.500 0.000 0.969
Hf 0.000 0.500 0.651
Hf 0.500 0.500 0.469
Cu 0.500 0.500 0.153
Cu 0.500 0.000 0.295
Cu 0.500 0.500 0.795
Cu 0.500 0.000 0.653
Mo 0.000 0.000 0.467
Mo 0.000 0.500 0.325
Mo 0.000 0.000 0.825
Mo 0.000 0.500 0.967
CELL_PARAMETERS angstrom
4.574 0.000 0.000
0.000 4.173 0.000
0.000 0.000 10.423



11.
! HfCuMo | Alexandria via LeMat-Bulk | PBE | optimized geometry; values from VASP
! - Polymorph energy (0 for the lowest one): 0.195 eV/atom
! - Space-group type: Cmmm, No. 65
! - Energy of formation: 0.026 eV/atom
&SYSTEM
  ibrav = 0, nat = 12, ntyp = 3
/
ATOMIC_SPECIES
Mo 95.94 Mo.upf
Cu 63.55 Cu.upf
Hf 178.49 Hf.upf
ATOMIC_POSITIONS crystal
Mo 0.666 0.000 0.500
Mo 0.166 0.500 0.500
Mo 0.834 0.500 0.500
Mo 0.334 0.000 0.500
Cu 0.500 0.500 0.500
Cu 0.000 0.000 0.500
Cu 0.500 0.000 0.000
Cu 0.000 0.500 0.000
Hf 0.655 0.500 0.000
Hf 0.155 0.000 0.000
Hf 0.345 0.500 0.000
Hf 0.845 0.000 0.000
CELL_PARAMETERS angstrom
-7.287 -7.148 -8.093
2.395 -2.636 0.172
-2.056 -1.653 3.311



12.
! HfCu2Mo4 | Alexandria via LeMat-Bulk | PBE | optimized geometry; values from VASP
! - Space-group type: I4/mmm, No. 139
! - Energy of formation: 1.861 eV/atom
&SYSTEM
  ibrav = 0, nat = 7, ntyp = 3
/
ATOMIC_SPECIES
Mo 95.94 Mo.upf
Cu 63.55 Cu.upf
Hf 178.49 Hf.upf
ATOMIC_POSITIONS crystal
Mo 0.500 0.000 0.000
Mo 0.210 0.210 0.581
Mo 0.000 0.500 0.000
Mo 0.790 0.790 0.419
Cu 0.402 0.402 0.197
Cu 0.598 0.598 0.803
Hf 0.000 0.000 0.000
CELL_PARAMETERS angstrom
-1.519 -2.169 -3.944
-0.407 -4.080 2.401
-6.740 -1.699 0.669



Listing uncorrected energy for the structures above in their given order: -35.279 -24.847 -24.659 -32.329 -24.712 -24.909 -24.812 -33.334 -25.012 -24.629 -24.802 -48.440 eV per formula unit.